Density functional theory data (GGA-PBE) for an optimized crystal structure of ScCu2SiBr.

```
ScCu2SiBr
1.0
-1.849 2.185 -3.512
2.349 -3.160 -3.202
-3.566 -2.792 0.140
Br Si Cu Sc
1 1 2 1
direct
0.000 0.000 0.000
0.500 0.500 0.500
0.500 0.000 0.000
0.000 0.000 0.500
0.000 0.500 0.000
```

Summary:
- Raw formation energy: 610 meV per atom
- M_tot: 0.00 μB per cell
- Raw total energy: -3.713 eV/atom

---

Density functional theory data (GGA-PBE) for an optimized crystal structure of BaSiSb4.

```
BaSiSb4
1.0
-5.679 -0.284 -2.822
-4.261 4.605 0.971
-1.424 4.045 -4.681
Sb Ba Si
4 1 1
direct
0.377 0.377 0.870
0.377 0.870 0.377
0.870 0.377 0.377
0.377 0.377 0.377
0.000 0.000 0.000
0.750 0.750 0.750
```

Summary:
- Raw formation energy: 82 meV per atom
- M_tot: 0.00 μB per cell
- Raw total energy: -3.891 eV/atom

---

Density functional theory data (GGA-PBE) for an optimized crystal structure of Hg2PbCl.

```
Hg2PbCl
1.0
-1.340 1.061 -3.054
-3.984 -3.842 0.414
-3.388 3.816 2.812
Hg Cl Pb
2 1 1
direct
0.000 0.000 0.996
0.000 0.000 0.504
0.500 0.500 0.750
0.500 0.500 0.250
```

Summary:
- Raw formation energy: -232 meV per atom
- M_tot: 0.00 μB per cell
- ΔE to the lowest computed polymorph: 0.25 eV per formula unit
- Raw total energy: -1.772 eV/atom

---

Density functional theory data (GGA-PBE) for an optimized crystal structure of MnBe2Zn.

```
MnBe2Zn
1.0
4.636 -0.025 -0.115
2.307 4.021 0.115
-3.049 -2.732 2.178
Zn Mn Be
1 1 2
direct
0.240 0.740 0.500
0.510 0.510 0.000
0.762 0.262 0.500
0.988 0.988 0.000
```

Summary:
- ΔE_f: 0.070 eV/atom
- M_tot: 1.97 μB per cell
- Raw total energy: -4.404 eV/atom

---

Density functional theory data (GGA-PBE) for an optimized crystal structure of NdGdCuGe.

```
NdGdCuGe
1.0
-1.273 -2.328 -4.338
3.215 -3.299 -2.154
-1.076 -4.970 0.003
Gd Nd Cu Ge
1 1 1 1
direct
0.000 0.000 0.000
0.500 0.500 0.500
0.750 0.750 0.750
0.250 0.250 0.250
```

Summary:
- ΔE_f: -0.479 eV/atom
- M_tot: 7.78 μB per cell
- Raw total energy: -7.370 eV/atom

---

Density functional theory data (GGA-PBE) for an optimized crystal structure of Li2PtW.

```
Li2PtW
1.0
2.672 0.017 0.000
-1.130 2.422 0.000
0.000 0.000 9.220
Li W Pt
2 1 1
direct
0.000 0.000 0.483
0.000 0.000 0.017
0.500 0.500 0.750
0.500 0.500 0.250
```

Summary:
- ΔE_f: -0.024 eV/atom
- M_tot: 0.00 μB per cell
- ΔE to the lowest computed polymorph: 0.10 eV per formula unit
- Raw total energy: -5.730 eV/atom

---

Density functional theory data (GGA-PBE) for an optimized crystal structure of LaAlCu3.

```
LaAlCu3
1.0
4.268 0.000 0.000
0.000 9.047 0.000
0.000 0.000 9.282
La Cu Al
4 12 4
direct
0.250 0.174 0.982
0.250 0.674 0.518
0.750 0.826 0.018
0.750 0.326 0.482
0.250 0.344 0.255
0.750 0.911 0.659
0.750 0.669 0.288
0.750 0.656 0.745
0.750 0.156 0.755
0.750 0.169 0.212
0.750 0.411 0.841
0.250 0.589 0.159
0.250 0.089 0.341
0.250 0.844 0.245
0.250 0.331 0.712
0.250 0.831 0.788
0.250 0.058 0.614
0.250 0.558 0.886
0.750 0.942 0.386
0.750 0.442 0.114
```

Summary:
- ΔE_f: -0.228 eV/atom
- M_tot: 0.00 μB per cell
- ΔE to the lowest computed polymorph: 0.00 eV per formula unit
- Raw total energy: -4.419 eV/atom

---

Density functional theory data (GGA-PBE) for an optimized crystal structure of Dy5Ag2Au2.

```
Dy5Ag2Au2
1.0
7.576 0.000 0.000
0.000 7.379 0.000
0.000 -3.689 8.230
Dy Au Ag
10 4 4
direct
0.326 0.687 0.723
0.826 0.813 0.277
0.174 0.464 0.277
0.674 0.313 0.277
0.326 0.964 0.277
0.000 0.000 0.000
0.674 0.036 0.723
0.500 0.500 0.000
0.174 0.187 0.723
0.826 0.536 0.723
0.636 0.870 0.000
0.864 0.370 0.000
0.364 0.130 0.000
0.136 0.630 0.000
0.000 0.213 0.427
0.000 0.787 0.573
0.500 0.713 0.427
0.500 0.287 0.573
```

Summary:
- ΔE_f: -0.480 eV/atom
- M_tot: 0.00 μB per cell
- Raw total energy: -4.399 eV/atom

---

Density functional theory data (GGA-PBE) for an optimized crystal structure of Na2Cd6AgSn.

```
Na2Cd6AgSn
1.0
-2.283 6.558 -1.491
-6.959 1.423 -0.004
-2.431 5.875 12.649
Na Sn Cd Ag
4 2 12 2
direct
0.316 0.316 0.051
0.684 0.684 0.949
0.124 0.124 0.629
0.876 0.876 0.371
0.575 0.575 0.275
0.425 0.425 0.725
0.245 0.802 0.152
0.929 0.333 0.406
0.802 0.245 0.152
0.198 0.755 0.848
0.333 0.333 0.406
0.667 0.071 0.594
0.802 0.802 0.152
0.755 0.198 0.848
0.198 0.198 0.848
0.071 0.667 0.594
0.667 0.667 0.594
0.333 0.929 0.406
0.500 0.500 0.500
0.000 0.000 0.000
```

Summary:
- ΔE_f: 0.070 eV/atom
- M_tot: 0.00 μB per cell
- Raw total energy: -1.428 eV/atom

---

Density functional theory data (GGA-PBE) for an optimized crystal structure of K2CdRe.

```
K2CdRe
1.0
6.435 0.014 0.000
3.607 5.329 0.000
-5.021 -2.672 3.010
Re K Cd
1 2 1
direct
0.250 0.750 0.500
0.000 0.000 0.000
0.500 0.500 0.000
0.750 0.250 0.500
```

Summary:
- ΔE_f: 1.307 eV/atom
- M_tot: 1.40 μB per cell
- Raw total energy: -2.583 eV/atom

---

Density functional theory data (GGA-PBE) for an optimized crystal structure of CdPd4Pt15.

```
CdPd4Pt15
1.0
3.961 0.000 0.000
0.000 3.961 0.000
0.000 0.000 20.062
Pt Pd Cd
15 4 1
direct
0.000 0.500 0.897
0.000 0.500 0.500
0.000 0.500 0.698
0.000 0.500 0.302
0.500 0.500 0.202
0.500 0.500 0.599
0.500 0.000 0.103
0.000 0.500 0.103
0.500 0.500 0.000
0.500 0.000 0.500
0.500 0.000 0.897
0.500 0.000 0.302
0.500 0.000 0.698
0.500 0.500 0.401
0.500 0.500 0.798
0.000 0.000 0.599
0.000 0.000 0.401
0.000 0.000 0.203
0.000 0.000 0.797
0.000 0.000 0.000
```

Summary:
- ΔE_f: -0.065 eV/atom
- M_tot: 0.00 μB per cell
- Raw total energy: -5.680 eV/atom

---

Density functional theory data (GGA-PBE) for an optimized crystal structure of Li8AlAg2.

```
Li8AlAg2
1.0
-0.436 -3.330 -3.300
-1.829 -6.919 1.904
-7.195 -1.981 0.289
Li Al Ag
8 1 2
direct
0.138 0.908 0.771
0.500 0.213 0.574
0.694 0.600 0.000
0.862 0.321 0.771
0.306 0.400 0.000
0.138 0.679 0.229
0.862 0.092 0.229
0.500 0.787 0.426
0.500 0.000 0.000
0.000 0.687 0.627
0.000 0.313 0.373
```

Summary:
- ΔE_f: -0.044 eV/atom
- M_tot: 0.00 μB per cell
- ΔE to the lowest computed polymorph: 0.40 eV per formula unit
- Raw total energy: -2.295 eV/atom

---

Density functional theory data (GGA-PBE) for an optimized crystal structure of KPuI2O8.

```
KPuI2O8
1.0
5.698 0.000 0.000
2.849 7.447 1.126
2.849 4.137 5.623
O I K Pu
8 2 1 1
direct
0.859 0.058 0.768
0.709 0.457 0.125
0.913 0.438 0.735
0.315 0.058 0.768
0.291 0.543 0.875
0.685 0.942 0.232
0.087 0.562 0.265
0.141 0.942 0.232
0.212 0.331 0.245
0.788 0.669 0.755
0.500 0.500 0.500
0.000 0.000 0.000
```

Summary:
- Raw formation energy: -1148 meV per atom
- M_tot: 0.71 μB per cell
- Raw total energy: -5.998 eV/atom

---

Density functional theory data (GGA-PBE) for an optimized crystal structure of Ac2Pm7Tm3.

```
Ac2Pm7Tm3
1.0
-2.282 -1.476 -2.408
5.046 -2.138 -3.470
3.513 -16.730 6.925
Pm Tm Ac
7 3 2
direct
0.500 0.067 0.166
0.000 0.440 0.841
0.500 0.235 0.503
0.000 0.560 0.159
0.500 0.933 0.834
0.000 0.000 0.000
0.500 0.765 0.497
0.000 0.110 0.341
0.000 0.890 0.659
0.500 0.500 0.000
0.500 0.388 0.673
0.500 0.612 0.327
```

Summary:
- ΔE_f: 0.091 eV/atom
- M_tot: 0.00 μB per cell
- Raw total energy: -4.482 eV/atom

---

Density functional theory data (GGA-PBE) for an optimized crystal structure of Nd6Y3Ho2Er.

```
Nd6Y3Ho2Er
1.0
6.277 0.000 0.008
-3.137 5.437 0.008
-1.058 -1.831 11.663
Nd Y Ho Er
6 3 2 1
direct
0.416 0.083 0.248
0.083 0.416 0.248
0.917 0.584 0.752
0.250 0.250 0.752
0.750 0.750 0.248
0.584 0.917 0.752
0.833 0.167 0.500
0.167 0.833 0.500
0.500 0.500 0.500
0.333 0.667 0.000
0.667 0.333 0.000
0.000 0.000 0.000
```

Summary:
- ΔE_f: 0.010 eV/atom
- M_tot: 0.00 μB per cell
- Raw total energy: -5.133 eV/atom

---

Density functional theory data (GGA-PBE) for an optimized crystal structure of La2OsPdC.

```
La2OsPdC
1.0
5.312 0.000 0.000
0.000 5.312 0.000
0.000 0.000 3.889
C Os La Pd
1 1 2 1
direct
0.000 0.000 0.000
0.000 0.000 0.500
0.000 0.500 0.000
0.500 0.000 0.000
0.500 0.500 0.500
```

Summary:
- ΔE_f: -0.385 eV/atom
- M_tot: 0.00 μB per cell
- Raw total energy: -7.485 eV/atom

---

Density functional theory data (GGA-PBE) for an optimized crystal structure of SiHg2Ir.

```
SiHg2Ir
1.0
-0.110 7.418 -2.527
-1.560 7.680 -0.133
3.126 1.657 1.712
Si Ir Hg
1 1 2
direct
0.250 0.250 0.250
0.750 0.750 0.750
0.068 0.068 0.932
0.432 0.432 0.568
```

Summary:
- Raw formation energy: 20 meV per atom
- M_tot: 0.00 μB per cell
- Raw total energy: -3.702 eV/atom

---

Density functional theory data (GGA-PBE) for an optimized crystal structure of CoAu2Br.

```
CoAu2Br
1.0
-1.194 -4.925 -2.298
4.626 2.779 -1.358
1.401 -1.313 2.086
Au Co Br
2 1 1
direct
0.000 0.000 0.000
0.500 0.500 0.000
0.000 0.500 0.500
0.500 0.000 0.500
```

Summary:
- Raw formation energy: 659 meV per atom
- M_tot: 1.82 μB per cell
- ΔE to the lowest computed polymorph: 1.71 eV per formula unit
- Raw total energy: -3.175 eV/atom

---

Density functional theory data (GGA-PBE) for an optimized crystal structure of ScCrAs3.

```
ScCrAs3
1.0
4.700 0.000 0.000
0.000 4.700 0.000
0.000 0.000 4.700
As Cr Sc
3 1 1
direct
0.000 0.000 0.500
0.000 0.500 0.000
0.500 0.000 0.000
0.000 0.000 0.000
0.500 0.500 0.500
```

Summary:
- ΔE_f: 0.087 eV/atom
- M_tot: 1.42 μB per cell
- ΔE to the lowest computed polymorph: 0.00 eV per formula unit
- Raw total energy: -5.894 eV/atom

---

Density functional theory data (GGA-PBE) for an optimized crystal structure of Tb4TcCl5.

```
Tb4TcCl5
1.0
-0.623 2.234 2.924
-5.268 -6.298 3.690
8.498 -2.761 1.538
Cl Tb Tc
5 4 1
direct
0.172 0.861 0.343
0.170 0.318 0.340
0.500 0.500 0.000
0.830 0.682 0.660
0.828 0.139 0.657
0.648 0.081 0.296
0.004 0.244 0.009
0.352 0.919 0.704
0.996 0.756 0.991
0.500 0.000 0.000
```

Summary:
- Raw formation energy: -1508 meV per atom
- M_tot: 0.00 μB per cell
- Raw total energy: -5.320 eV/atom

---

Density functional theory data (GGA-PBE) for an optimized crystal structure of Na3YU2S6.

```
Na3YU2S6
1.0
-0.256 -3.732 5.775
-1.485 -2.918 -6.051
7.067 0.551 -0.696
S U Y Na
6 2 1 3
direct
0.589 0.923 0.770
0.258 0.258 0.770
0.077 0.411 0.230
0.923 0.589 0.770
0.411 0.077 0.230
0.742 0.742 0.230
0.333 0.667 0.000
0.667 0.333 0.000
0.000 0.000 0.000
0.834 0.166 0.500
0.500 0.500 0.500
0.166 0.834 0.500
```

Summary:
- Raw formation energy: -1501 meV per atom
- M_tot: 6.01 μB per cell
- Raw total energy: -6.314 eV/atom

---

Density functional theory data (GGA-PBE) for an optimized crystal structure of Ca2LaFe.

```
Ca2LaFe
1.0
5.237 0.000 0.000
0.000 3.665 -0.037
0.000 1.929 6.358
Fe Ca La
1 2 1
direct
0.500 0.250 0.250
0.000 0.085 0.029
0.000 0.415 0.471
0.500 0.750 0.750
```

Summary:
- ΔE_f: 0.509 eV/atom
- M_tot: 2.18 μB per cell
- ΔE to the lowest computed polymorph: 1.15 eV per formula unit
- Raw total energy: -3.840 eV/atom

---

Density functional theory data (GGA-PBE) for an optimized crystal structure of YHoTl6.

```
YHoTl6
1.0
4.766 0.000 0.000
0.000 4.766 0.000
0.000 0.000 9.533
Tl Y Ho
6 1 1
direct
0.500 0.000 0.751
0.500 0.000 0.249
0.500 0.500 0.500
0.000 0.500 0.751
0.500 0.500 0.000
0.000 0.500 0.249
0.000 0.000 0.500
0.000 0.000 0.000
```

Summary:
- ΔE_f: -0.234 eV/atom
- M_tot: 0.00 μB per cell
- Raw total energy: -3.389 eV/atom

---

Density functional theory data (GGA-PBE) for an optimized crystal structure of ScInHg2.

```
ScInHg2
1.0
3.548 0.000 0.000
1.774 3.073 0.000
1.774 1.024 8.982
Hg Sc In
2 1 1
direct
0.254 0.254 0.239
0.080 0.080 0.760
0.667 0.667 0.000
0.500 0.500 0.501
```

Summary:
- ΔE_f: -0.152 eV/atom
- M_tot: 0.00 μB per cell
- Raw total energy: -2.570 eV/atom